ReNi2 after structural relaxation. Source: the Alexandria database, functional PBE-GGA.

Results
**Calculated formation energy**: 295 meV per atom
**E_tot**: -7.71 eV/atom
**N(E_F)**: 1.06 states/eV/atom
**Polymorph energy (0 for the lowest one)**: 0.345 eV per atom

Cell and atoms, written as CIF:
```
data_ReNi2
_cell_length_a 4.145
_cell_length_b 4.145
_cell_length_c 4.992
_cell_angle_alpha 90.00
_cell_angle_beta 90.00
_cell_angle_gamma 120.00
_space_group_name_H-M_alt 'P 1'
_space_group_IT_number 1
loop_
_space_group_symop_operation_xyz
'x,y,z'
loop_
_atom_site_label
_atom_site_fract_x
_atom_site_fract_y
_atom_site_fract_z
Re1 0.667 0.333 0.250
Re2 0.333 0.667 0.750
Ni1 0.667 0.333 0.750
Ni2 0.000 0.000 0.000
Ni3 0.333 0.667 0.250
Ni4 0.000 0.000 0.500
```